Below is BePbSe2 after structural relaxation, with properties calculated at the GGA-PBE level.

Magnetization (μB/cell): 0.00
SG: Immm, No. 71
Relative energy among the computed polymorphs (meV per atom): 335
ρ (g cm⁻³): 6.9
Energy relative to the elements, uncorrected (eV per formula unit): -0.763

Cell: 5.567 5.567 5.567 Å, 143.54 115.82 76.13°
Fractional positions:
1 Se 0.922 0.922 0.000
2 Pb 0.250 0.750 0.500
3 Se 0.578 0.578 0.000
4 Be 0.750 0.250 0.500